A plane-wave DFT calculation with PBE was carried out for TiPtSe2 after structural relaxation.

It has space group R-3m (No. 166, hexagonal axes), with a = 3.6485 Å, b = 3.6485 Å, c = 23.5186 Å, α = 90.00°, β = 90.00° and γ = 120.00°. The inequivalent atoms are Ti at (0.0000, 0.0000, 0.0000), Pt at (0.0000, 0.0000, 0.5000) and Se at (0.0000, 0.0000, 0.1058).

As for the calculated density: 7.37 g/cm³. As for the relative energy among the computed polymorphs: 55.0 kJ/mol of atoms.